Computed, not measured: NiAs after structural relaxation at the GGA-PBE level of DFT.

Summary:
Energy of formation (eV per atom): 0.32
Total moment (μB/atom): 0.00

abc: 4.3230 4.3230 4.3230
angles: 60.00 60.00 60.00
Atoms (fractional coordinates):
Ni: 0.1250 0.1250 0.1250
Ni: 0.8750 0.8750 0.8750
As: 0.3750 0.3750 0.3750
As: 0.6250 0.6250 0.6250